{"formula": "NaCd6Ag", "functional": "PBE", "state": "optimized geometry", "de_polymorph_ev_per_atom": 0.000, "formation_energy_mev_per_atom": -40, "final_energy_ry_per_atom": -0.0917, "spacegroup": "Amm2, No. 38", "cell": [[4.9389, 0.0000, 0.0000], [0.0000, 6.3560, -0.2074], [0.0000, -3.0001, 5.6073]], "species": ["Na", "Cd", "Cd", "Cd", "Cd", "Cd", "Cd", "Ag"], "frac_coords": [[0.5000, 0.4172, 0.5828], [0.0000, 0.0846, 0.4180], [0.0000, 0.5820, 0.9154], [0.0000, 0.5831, 0.4169], [0.5000, 0.4137, 0.0815], [0.5000, 0.9185, 0.5863], [0.5000, 0.9180, 0.0820], [0.0000, 0.0825, 0.9175]]}